[1]
Entry from Alexandria: a PBEsol-optimized structure of KSe3 (meta-GGA SCAN).

Calculated values
**M_tot**: 0.0 μB per formula unit
**Final energy**: -17.650 eV per atom
**Space group**: No. 44
**Formation energy without anion corrections**: -509 meV/atom

Cell lengths 3.752, 6.170, 6.170 Å; angles 93.03, 72.30, 72.30 degrees
Fractional coordinates of all 4 atoms:
K: 0.000 0.985 0.015
Se: 0.500 0.629 0.371
Se: 0.252 0.024 0.472
Se: 0.748 0.528 0.976


[2]
Entry from Alexandria: a PBEsol-optimized structure of BaCd2Pb (meta-GGA SCAN).

Calculated values
**M_tot**: 0.0 μB per formula unit
**ΔE_f**: -389.9 meV/atom
**Final energy**: -44.430 eV per atom
**Space group**: No. 160

Cell lengths 4.854, 4.854, 6.689 Å; angles 68.73, 68.73, 60.00 degrees
Fractional coordinates of all 4 atoms:
Pb: 0.466 0.466 0.601
Ba: 0.250 0.250 0.250
Cd: 0.034 0.034 0.898
Cd: 0.735 0.735 0.796


[3]
Entry from Alexandria: a PBEsol-optimized structure of MnPSe2 (meta-GGA SCAN).

Calculated values
**M_tot**: 2.7 μB per formula unit
**Final energy**: -17.194 eV per atom
**Space group**: No. 99
**Formation energy without anion corrections**: 9 meV/atom

Cell lengths 3.143, 3.143, 6.837 Å; angles 90.00, 90.00, 90.00 degrees
Fractional coordinates of all 4 atoms:
Mn: 0.000 0.000 0.553
P: 0.500 0.500 0.697
Se: 0.000 0.000 0.921
Se: 0.500 0.500 0.329


[4]
Entry from Alexandria: a PBEsol-optimized structure of Sc2TcIr (meta-GGA SCAN).

Calculated values
**M_tot**: 0.0 μB per formula unit
**ΔE_f**: -353.1 meV/atom
**Final energy**: -34.011 eV per atom
**Space group**: No. 216

Cell lengths 4.497, 4.497, 4.497 Å; angles 60.00, 60.00, 60.00 degrees
Fractional coordinates of all 4 atoms:
Ir: 0.500 0.500 0.500
Sc: 0.000 0.000 0.000
Sc: 0.750 0.750 0.750
Tc: 0.250 0.250 0.250


[5]
Entry from Alexandria: a PBEsol-optimized structure of InReC2 (meta-GGA SCAN).

Calculated values
**M_tot**: 0.0 μB per formula unit
**ΔE_f**: 2075.9 meV/atom
**Final energy**: -29.095 eV per atom
**Space group**: No. 225

Cell lengths 3.973, 3.973, 3.973 Å; angles 60.00, 60.00, 60.00 degrees
Fractional coordinates of all 4 atoms:
Re: 0.500 0.500 0.500
C: 0.250 0.250 0.250
C: 0.750 0.750 0.750
In: 0.000 0.000 0.000


[6]
Entry from Alexandria: a PBEsol-optimized structure of TaHgCl2 (meta-GGA SCAN).

Calculated values
**M_tot**: 0.0 μB per formula unit
**Final energy**: -37.443 eV per atom
**Space group**: No. 12
**Formation energy without anion corrections**: 233 meV/atom

Cell lengths 3.011, 5.445, 5.489 Å; angles 118.11, 103.25, 95.21 degrees
Fractional coordinates of all 4 atoms:
Cl: 0.000 0.000 0.500
Cl: 0.500 0.500 0.500
Hg: 0.000 0.000 0.000
Ta: 0.500 0.500 0.000


[7]
Entry from Alexandria: a PBEsol-optimized structure of CaTi4S8 (meta-GGA SCAN).

Calculated values
**M_tot**: 0.0 μB per formula unit
**Final energy**: -13.276 eV per atom
**Space group**: No. 12
**Formation energy without anion corrections**: -1675 meV/atom

Cell lengths 6.733, 6.733, 7.624 Å; angles 103.24, 102.30, 119.97 degrees
Fractional coordinates of all 13 atoms:
Ca: 0.500 0.000 0.500
Ti: 0.757 0.757 0.000
Ti: 0.243 0.243 0.000
Ti: 0.755 0.250 0.006
Ti: 0.245 0.750 0.994
S: 0.522 0.192 0.212
S: 0.020 0.691 0.212
S: 0.519 0.687 0.206
S: 0.023 0.191 0.213
S: 0.977 0.809 0.787
S: 0.481 0.313 0.794
S: 0.980 0.309 0.788
S: 0.478 0.808 0.788


[8]
Entry from Alexandria: a PBEsol-optimized structure of LaSi2Pt (meta-GGA SCAN).

Calculated values
**M_tot**: 0.0 μB per formula unit
**Final energy**: -34.120 eV per atom
**Space group**: No. 122
**Formation energy without anion corrections**: -787 meV/atom

Cell lengths 4.667, 4.667, 8.778 Å; angles 105.42, 105.42, 90.00 degrees
Fractional coordinates of all 8 atoms:
Si: 0.189 0.875 0.250
Si: 0.061 0.375 0.250
Si: 0.125 0.939 0.750
Si: 0.625 0.811 0.750
Pt: 0.250 0.750 0.500
Pt: 0.000 0.000 0.000
La: 0.750 0.250 0.500
La: 0.500 0.500 0.000


[9]
Entry from Alexandria: a PBEsol-optimized structure of Mg2In (meta-GGA SCAN).

Calculated values
**M_tot**: 0.0 μB per formula unit
**ΔE_f**: -64.3 meV/atom
**Final energy**: -14.509 eV per atom
**Space group**: No. 63

Cell lengths 3.267, 5.286, 8.138 Å; angles 90.00, 101.58, 90.00 degrees
Fractional coordinates of all 6 atoms:
Mg: 0.887 0.250 0.774
Mg: 0.555 0.250 0.110
Mg: 0.445 0.750 0.890
Mg: 0.113 0.750 0.226
In: 0.220 0.250 0.439
In: 0.780 0.750 0.561


[10]
Entry from Alexandria: a PBEsol-optimized structure of Zr2ZnBr (meta-GGA SCAN).

Calculated values
**M_tot**: 0.0 μB per formula unit
**Final energy**: -23.914 eV per atom
**Space group**: No. 99
**Formation energy without anion corrections**: -321 meV/atom

Cell lengths 3.172, 3.172, 8.883 Å; angles 90.00, 90.00, 90.00 degrees
Fractional coordinates of all 4 atoms:
Br: 0.000 0.000 0.452
Zn: 0.500 0.500 0.796
Zr: 0.000 0.000 0.996
Zr: 0.500 0.500 0.256


[11]
Entry from Alexandria: a PBEsol-optimized structure of NiAs2W (meta-GGA SCAN).

Calculated values
**M_tot**: 0.0 μB per formula unit
**ΔE_f**: 243.5 meV/atom
**Final energy**: -31.317 eV per atom
**Space group**: No. 10

Cell lengths 3.002, 4.184, 5.005 Å; angles 113.21, 90.00, 90.00 degrees
Fractional coordinates of all 4 atoms:
As: 0.000 0.000 0.000
As: 0.500 0.000 0.500
Ni: 0.500 0.500 0.000
W: 0.000 0.500 0.500


[12]
Entry from Alexandria: a PBEsol-optimized structure of CsPdSeBr2 (meta-GGA SCAN).

Calculated values
**M_tot**: 1.0 μB per formula unit
**Final energy**: -26.690 eV per atom
**Space group**: No. 123
**Formation energy without anion corrections**: -773 meV/atom

Cell lengths 4.902, 5.317, 5.317 Å; angles 90.00, 90.00, 90.00 degrees
Fractional coordinates of all 5 atoms:
Cs: 0.500 0.500 0.500
Se: 0.500 0.000 0.000
Br: 0.000 0.000 0.500
Br: 0.000 0.500 0.000
Pd: 0.000 0.000 0.000